1.
First-principles (SCAN) data for a crystal of Eu2Ga9Rh3 relaxed with PBEsol, as listed in the Alexandria database.

**Mass density**: 8.85 g/cm³
**Crystal system**: orthorhombic
**Space group**: Cmcm
**Calculated formation energy**: -0.722 eV/atom

abc: 7.468 7.468 9.585
angles: 90.00 90.00 119.48
Element x y z (fractional)
Rh (0.671, 0.329, 0.500)
Rh (0.329, 0.671, 0.000)
Rh (0.329, 0.671, 0.500)
Rh (0.000, 0.000, 0.500)
Rh (0.671, 0.329, 0.000)
Rh (0.000, 0.000, 0.000)
Ga (0.335, 0.335, 0.060)
Ga (0.663, 0.454, 0.250)
Ga (0.337, 0.546, 0.750)
Ga (0.335, 0.004, 0.925)
Ga (0.004, 0.335, 0.925)
Ga (0.665, 0.665, 0.940)
Ga (0.996, 0.665, 0.075)
Ga (0.129, 0.129, 0.750)
Ga (0.454, 0.663, 0.250)
Ga (0.335, 0.004, 0.575)
Ga (0.004, 0.335, 0.575)
Ga (0.665, 0.996, 0.075)
Ga (0.665, 0.996, 0.425)
Ga (0.546, 0.337, 0.750)
Ga (0.871, 0.871, 0.250)
Ga (0.335, 0.335, 0.440)
Ga (0.996, 0.665, 0.425)
Ga (0.665, 0.665, 0.560)
Eu (0.670, 0.998, 0.750)
Eu (0.998, 0.670, 0.750)
Eu (0.002, 0.330, 0.250)
Eu (0.330, 0.002, 0.250)

2.
First-principles (SCAN) data for a crystal of EuGa2S4 relaxed with PBEsol, as listed in the Alexandria database.

**Mass density**: 4.52 g/cm³
**Crystal system**: orthorhombic
**Space group**: Cccm
**Formation energy without anion corrections**: -1.285 eV per atom

abc: 5.873 5.873 10.177
angles: 90.00 90.00 118.63
Element x y z (fractional)
S (0.809, 0.650, 0.500)
S (0.350, 0.191, 0.000)
S (0.000, 0.500, 0.829)
S (0.500, 0.000, 0.671)
S (0.500, 0.000, 0.329)
S (0.191, 0.350, 0.500)
S (0.650, 0.809, 0.000)
S (0.000, 0.500, 0.171)
Ga (0.233, 0.763, 0.000)
Ga (0.237, 0.767, 0.500)
Ga (0.767, 0.237, 0.000)
Ga (0.763, 0.233, 0.500)
Eu (0.500, 0.500, 0.750)
Eu (0.500, 0.500, 0.250)

3.
First-principles (SCAN) data for a crystal of EuGa2Sb2 relaxed with PBEsol, as listed in the Alexandria database.

**Mass density**: 7.10 g/cm³
**Crystal system**: orthorhombic
**Space group**: Pnma
**Formation energy without anion corrections**: -0.546 eV per atom

abc: 4.340 6.522 17.669
angles: 90.00 90.00 90.00
Element x y z (fractional)
Eu (0.250, 0.247, 0.116)
Eu (0.750, 0.753, 0.884)
Eu (0.750, 0.747, 0.384)
Eu (0.250, 0.253, 0.616)
Sb (0.750, 0.214, 0.970)
Sb (0.250, 0.786, 0.030)
Sb (0.750, 0.286, 0.470)
Sb (0.750, 0.953, 0.207)
Sb (0.250, 0.714, 0.530)
Sb (0.250, 0.453, 0.293)
Sb (0.750, 0.547, 0.707)
Sb (0.250, 0.047, 0.793)
Ga (0.250, 0.434, 0.932)
Ga (0.750, 0.934, 0.568)
Ga (0.750, 0.541, 0.210)
Ga (0.750, 0.566, 0.068)
Ga (0.750, 0.959, 0.710)
Ga (0.250, 0.066, 0.432)
Ga (0.250, 0.041, 0.290)
Ga (0.250, 0.459, 0.790)

4.
First-principles (SCAN) data for a crystal of EuGaSn relaxed with PBEsol, as listed in the Alexandria database.

**Mass density**: 7.44 g/cm³
**Crystal system**: hexagonal
**Space group**: P6_3/mmc
**Calculated formation energy**: -0.676 eV/atom

abc: 4.504 4.504 17.293
angles: 90.00 90.00 120.00
Element x y z (fractional)
Ga (0.333, 0.667, 0.662)
Ga (0.667, 0.333, 0.338)
Ga (0.667, 0.333, 0.162)
Ga (0.333, 0.667, 0.838)
Eu (0.000, 0.000, 0.000)
Eu (0.000, 0.000, 0.750)
Eu (0.000, 0.000, 0.250)
Eu (0.000, 0.000, 0.500)
Sn (0.333, 0.667, 0.385)
Sn (0.667, 0.333, 0.885)
Sn (0.333, 0.667, 0.115)
Sn (0.667, 0.333, 0.615)